The following is a DFT calculation (PBE) of crystalline CsLi2BrCl2 at its relaxed geometry.

Output
Its density of states at the Fermi level is 0.000 states/eV/atom. Its crystal system is monoclinic. The formation energy (no corrections) is -1.7816 eV/atom. Its density is 2.73 g cm⁻³. Its magnetization is 0.0 Bohr magnetons per cell.

Cell lengths 5.999, 7.826, 7.879 Å; angles 102.24, 90.00, 90.00 degrees
Positions (direct):
Cs 0.750 0.324 0.674
Cs 0.250 0.676 0.326
Li 0.501 0.158 0.172
Li 0.999 0.158 0.172
Li 0.001 0.842 0.828
Li 0.499 0.842 0.828
Br 0.250 0.118 0.900
Br 0.750 0.882 0.100
Cl 0.250 0.161 0.393
Cl 0.250 0.614 0.796
Cl 0.750 0.839 0.607
Cl 0.750 0.386 0.204

---

The following is a DFT calculation (PBE) of crystalline Ba4ZnCd at its relaxed geometry.

Output
Its density of states at the Fermi level is 1.344 states/eV/atom. Its crystal system is tetragonal. As for the uncorrected energy: -1.826 eV per atom. Its density is 4.44 g cm⁻³. Its magnetization is 0.0 Bohr magnetons per cell.

Cell lengths 4.245, 4.245, 15.101 Å; angles 90.00, 90.00, 90.00 degrees
Positions (direct):
Ba 0.500 0.500 0.874
Ba 0.500 0.500 0.126
Ba 0.000 0.000 0.635
Ba 0.000 0.000 0.365
Zn 0.000 0.000 0.000
Cd 0.500 0.500 0.500

---

The following is a DFT calculation (PBE) of crystalline In2Ag4Hg at its relaxed geometry.

Output
Its density of states at the Fermi level is 0.265 states/eV/atom. Its crystal system is monoclinic. As for the uncorrected energy: -2.419 eV per atom. Its density is 9.67 g cm⁻³. Its magnetization is 0.0 Bohr magnetons per cell.

Cell lengths 4.767, 5.790, 11.232 Å; angles 90.00, 107.34, 90.00 degrees
Positions (direct):
Hg 0.133 0.750 0.117
Hg 0.867 0.250 0.883
Ag 0.631 0.495 0.304
Ag 0.944 0.750 0.801
Ag 0.056 0.250 0.199
Ag 0.631 0.005 0.304
Ag 0.816 0.250 0.617
Ag 0.369 0.995 0.696
Ag 0.369 0.505 0.696
Ag 0.184 0.750 0.383
In 0.540 0.750 0.951
In 0.460 0.250 0.049
In 0.208 0.250 0.458
In 0.792 0.750 0.542

---

The following is a DFT calculation (PBE) of crystalline Y2SiBr at its relaxed geometry.

Output
Its density of states at the Fermi level is 0.924 states/eV/atom. Its crystal system is cubic. The formation energy (no corrections) is -0.7391 eV/atom. Its density is 5.01 g cm⁻³. Its magnetization is 0.0 Bohr magnetons per cell.

Cell lengths 5.116, 5.116, 5.116 Å; angles 60.00, 60.00, 60.00 degrees
Positions (direct):
Y 0.250 0.250 0.250
Y 0.750 0.750 0.750
Si 0.000 0.000 0.000
Br 0.500 0.500 0.500

---

The following is a DFT calculation (PBE) of crystalline Ac5Tc2I2 at its relaxed geometry.

Output
Its density of states at the Fermi level is 0.614 states/eV/atom. Its crystal system is monoclinic. The formation energy (no corrections) is -0.3681 eV/atom. Its density is 7.85 g cm⁻³. Its magnetization is 0.0 Bohr magnetons per cell.

Cell lengths 8.132, 8.286, 11.871 Å; angles 90.00, 56.98, 90.00 degrees
Positions (direct):
Ac 0.000 0.000 0.000
Ac 0.500 0.500 0.000
Ac 0.492 0.179 0.787
Ac 0.853 0.825 0.781
Ac 0.353 0.675 0.781
Ac 0.992 0.321 0.787
Ac 0.508 0.821 0.213
Ac 0.147 0.175 0.219
Ac 0.647 0.325 0.219
Ac 0.008 0.679 0.213
Tc 0.110 0.397 0.993
Tc 0.890 0.603 0.007
Tc 0.390 0.897 0.007
Tc 0.610 0.103 0.993
I 0.242 0.101 0.485
I 0.742 0.399 0.485
I 0.758 0.899 0.515
I 0.258 0.601 0.515

---

The following is a DFT calculation (PBE) of crystalline KTi2Ag at its relaxed geometry.

Output
Its density of states at the Fermi level is 1.815 states/eV/atom. Its crystal system is cubic. As for the uncorrected energy: -3.900 eV per atom. Its density is 4.75 g cm⁻³. Its magnetization is 2.8 Bohr magnetons per cell.

Cell lengths 4.933, 4.933, 4.933 Å; angles 60.00, 60.00, 60.00 degrees
Positions (direct):
K 0.000 0.000 0.000
Ag 0.500 0.500 0.500
Ti 0.250 0.250 0.250
Ti 0.750 0.750 0.750

---

The following is a DFT calculation (PBE) of crystalline Nd3Ga3Pd2 at its relaxed geometry.

Output
Its density of states at the Fermi level is 0.740 states/eV/atom. Its crystal system is orthorhombic. As for the uncorrected energy: -4.955 eV per atom. Its density is 7.81 g cm⁻³. Its magnetization is 0.0 Bohr magnetons per cell.

Cell lengths 5.680, 8.304, 15.417 Å; angles 90.00, 90.00, 90.00 degrees
Positions (direct):
Nd 0.127 0.457 0.392
Nd 0.627 0.043 0.608
Nd 0.873 0.543 0.892
Nd 0.373 0.957 0.108
Nd 0.873 0.543 0.608
Nd 0.373 0.957 0.392
Nd 0.127 0.457 0.108
Nd 0.627 0.043 0.892
Nd 0.624 0.315 0.250
Nd 0.124 0.185 0.750
Nd 0.376 0.685 0.750
Nd 0.876 0.815 0.250
Ga 0.120 0.167 0.250
Ga 0.620 0.333 0.750
Ga 0.880 0.833 0.750
Ga 0.380 0.667 0.250
Ga 0.611 0.313 0.463
Ga 0.111 0.187 0.537
Ga 0.389 0.687 0.963
Ga 0.889 0.813 0.037
Ga 0.389 0.687 0.537
Ga 0.889 0.813 0.463
Ga 0.611 0.313 0.037
Ga 0.111 0.187 0.963
Pd 0.875 0.099 0.394
Pd 0.375 0.401 0.606
Pd 0.125 0.901 0.894
Pd 0.625 0.599 0.106
Pd 0.125 0.901 0.606
Pd 0.625 0.599 0.394
Pd 0.875 0.099 0.106
Pd 0.375 0.401 0.894

---

The following is a DFT calculation (PBE) of crystalline Ti6Nb2Os at its relaxed geometry.

Output
Its density of states at the Fermi level is 1.133 states/eV/atom. Its crystal system is orthorhombic. As for the uncorrected energy: -8.304 eV per atom. Its density is 6.28 g cm⁻³. Its magnetization is 0.0 Bohr magnetons per cell.

Cell lengths 4.417, 6.107, 7.518 Å; angles 113.96, 107.12, 90.00 degrees
Positions (direct):
Ti 0.159 0.407 0.316
Ti 0.841 0.091 0.684
Ti 0.841 0.593 0.684
Ti 0.500 0.247 0.000
Ti 0.159 0.909 0.316
Ti 0.500 0.753 0.000
Nb 0.670 0.669 0.338
Nb 0.330 0.331 0.662
Os 0.000 0.000 0.000

---

> magnetization of number 5 (Ac5Tc2I2)?

0.0 Bohr magnetons per cell

---

> What is the magnetization in the first record?

0.0 Bohr magnetons per cell

---

> Number 8 is which compound?

Ti6Nb2Os